Entry 1:
! PBE InAg2Au9, optimized geometry; values from VASP
&SYSTEM
  ibrav = 0, nat = 12, ntyp = 3
/
ATOMIC_SPECIES
In 114.82 In.upf
Ag 107.87 Ag.upf
Au 196.97 Au.upf
CELL_PARAMETERS angstrom
-1.031 1.160 -3.912
3.164 -2.321 -1.522
-7.590 -9.761 -0.894
ATOMIC_POSITIONS crystal
In 0.000 0.000 0.000
Ag 0.000 0.000 0.336
Ag 0.000 0.000 0.664
Au 0.500 0.500 0.000
Au 0.500 0.500 0.336
Au 0.500 0.500 0.664
Au 0.500 0.000 0.170
Au 0.500 0.000 0.500
Au 0.500 0.000 0.830
Au 0.000 0.500 0.170
Au 0.000 0.500 0.500
Au 0.000 0.500 0.830
! V   18.299 Å³ per atom
! Energy of formation from the pure elements   -59 meV per atom



Entry 2:
! PBE K2PtO3, optimized geometry; values from VASP
&SYSTEM
  ibrav = 0, nat = 12, ntyp = 3
/
ATOMIC_SPECIES
K 39.10 K.upf
Pt 195.08 Pt.upf
O 16.00 O.upf
CELL_PARAMETERS angstrom
5.217 0.000 2.499
2.010 4.815 2.499
-0.046 -0.030 6.792
ATOMIC_POSITIONS crystal
K 0.178 0.178 0.465
K 0.322 0.322 0.035
K 0.822 0.822 0.535
K 0.678 0.678 0.965
Pt 0.500 0.500 0.500
Pt 0.000 0.000 0.000
O 0.833 0.667 0.250
O 0.250 0.833 0.250
O 0.750 0.167 0.750
O 0.333 0.750 0.750
O 0.167 0.333 0.750
O 0.667 0.250 0.250
! Formation energy from raw total energies   -455 meV/atom
! V   14.284 Å³ per atom



Entry 3:
! PBE La4TbNd5, optimized geometry; values from VASP
&SYSTEM
  ibrav = 0, nat = 10, ntyp = 3
/
ATOMIC_SPECIES
La 138.91 La.upf
Tb 158.93 Tb.upf
Nd 144.24 Nd.upf
CELL_PARAMETERS angstrom
-0.846 -4.042 -3.906
-1.512 -7.210 7.789
-5.436 3.261 1.940
ATOMIC_POSITIONS crystal
La 0.679 0.249 0.357
La 0.047 0.753 0.094
La 0.321 0.751 0.643
La 0.953 0.247 0.906
Tb 0.500 0.000 0.000
Nd 0.197 0.065 0.394
Nd 0.195 0.436 0.391
Nd 0.805 0.564 0.609
Nd 0.500 0.500 0.000
Nd 0.803 0.935 0.606
! Offset from the most stable computed form   0.004 eV per atom
! V   36.494 Å³ per atom
! Energy of formation from the pure elements   152 meV per atom



Entry 4:
! PBE LaHg2Rh2, optimized geometry; values from VASP
&SYSTEM
  ibrav = 0, nat = 5, ntyp = 3
/
ATOMIC_SPECIES
Rh 102.91 Rh.upf
Hg 200.59 Hg.upf
La 138.91 La.upf
CELL_PARAMETERS angstrom
4.279 0.000 0.000
0.000 4.279 0.000
2.139 2.139 6.086
ATOMIC_POSITIONS crystal
Rh 0.399 0.399 0.202
Rh 0.601 0.601 0.798
Hg 0.750 0.250 0.500
Hg 0.250 0.750 0.500
La 0.000 0.000 0.000
! Offset from the most stable computed form   0.023 eV per atom
! V   22.282 Å³ per atom
! Energy of formation from the pure elements   -278 meV per atom



Entry 5:
! PBE LiTl2HgBr6, optimized geometry; values from VASP
&SYSTEM
  ibrav = 0, nat = 10, ntyp = 4
/
ATOMIC_SPECIES
Li 6.94 Li.upf
Tl 204.38 Tl.upf
Hg 200.59 Hg.upf
Br 79.90 Br.upf
CELL_PARAMETERS angstrom
-0.352 7.785 -0.632
-4.858 4.422 -4.927
-6.661 3.363 3.754
ATOMIC_POSITIONS crystal
Li 0.259 0.307 0.971
Tl 0.567 0.537 0.422
Tl 0.009 0.925 0.040
Hg 0.729 0.858 0.641
Br 0.616 0.135 0.329
Br 0.232 0.992 0.188
Br 0.033 0.533 0.197
Br 0.428 0.748 0.754
Br 0.676 0.126 0.800
Br 0.112 0.501 0.675
! Formation energy from raw total energies   -732 meV/atom
! V   37.749 Å³ per atom



Entry 6:
! PBE NaYCdPb, optimized geometry; values from VASP
&SYSTEM
  ibrav = 0, nat = 4, ntyp = 4
/
ATOMIC_SPECIES
Pb 207.20 Pb.upf
Y 88.91 Y.upf
Na 22.99 Na.upf
Cd 112.41 Cd.upf
CELL_PARAMETERS angstrom
-3.027 0.931 4.289
0.395 -3.157 4.277
2.221 1.847 4.480
ATOMIC_POSITIONS crystal
Pb 0.500 0.500 0.500
Y 0.750 0.750 0.750
Na 0.250 0.250 0.250
Cd 0.000 0.000 0.000
! Offset from the most stable computed form   0.013 eV per atom
! V   26.782 Å³ per atom
! Energy of formation from the pure elements   -286 meV per atom



Entry 7:
! PBE TbPm2Nd4, optimized geometry; values from VASP
&SYSTEM
  ibrav = 0, nat = 14, ntyp = 3
/
ATOMIC_SPECIES
Tb 158.93 Tb.upf
Pm 145.00 Pm.upf
Nd 144.24 Nd.upf
CELL_PARAMETERS angstrom
8.069 -0.673 -3.340
-4.670 7.723 -3.520
-0.375 -0.877 9.028
ATOMIC_POSITIONS crystal
Tb 0.766 0.537 0.018
Tb 0.917 0.956 0.027
Pm 0.377 0.856 0.767
Pm 0.418 0.458 0.528
Pm 0.984 0.178 0.516
Pm 0.287 0.650 0.269
Nd 0.787 0.150 0.769
Nd 0.962 0.565 0.768
Nd 0.834 0.756 0.511
Nd 0.876 0.356 0.266
Nd 0.460 0.065 0.265
Nd 0.485 0.680 0.018
Nd 0.333 0.256 0.010
Nd 0.264 0.035 0.517
! Offset from the most stable computed form   0.032 eV per atom
! V   34.648 Å³ per atom
! Energy of formation from the pure elements   41 meV per atom



Entry 8:
! PBE SrNbBr, optimized geometry; values from VASP
&SYSTEM
  ibrav = 0, nat = 12, ntyp = 3
/
ATOMIC_SPECIES
Sr 87.62 Sr.upf
Nb 92.91 Nb.upf
Br 79.90 Br.upf
CELL_PARAMETERS angstrom
-3.062 -3.303 0.820
2.436 -0.252 8.077
-3.822 9.624 1.453
ATOMIC_POSITIONS crystal
Sr 0.464 0.542 0.210
Sr 0.536 0.542 0.790
Sr 0.464 0.042 0.710
Sr 0.536 0.042 0.290
Nb 0.824 0.253 0.049
Nb 0.176 0.253 0.951
Nb 0.824 0.753 0.549
Nb 0.176 0.753 0.451
Br 0.906 0.815 0.160
Br 0.094 0.815 0.840
Br 0.906 0.315 0.660
Br 0.094 0.315 0.340
! Offset from the most stable computed form   0.343 eV per atom
! Formation energy from raw total energies   -288 meV/atom
! V   30.934 Å³ per atom



Entry 9:
! PBE AcPr2Sm2Y2, optimized geometry; values from VASP
&SYSTEM
  ibrav = 0, nat = 7, ntyp = 4
/
ATOMIC_SPECIES
Ac 227.00 Ac.upf
Pr 140.91 Pr.upf
Sm 150.36 Sm.upf
Y 88.91 Y.upf
CELL_PARAMETERS angstrom
-1.477 3.965 3.088
-4.088 -4.892 -0.116
4.925 -2.834 5.994
ATOMIC_POSITIONS crystal
Ac 0.000 0.000 0.000
Pr 0.574 0.148 0.711
Pr 0.426 0.852 0.289
Sm 0.714 0.429 0.149
Sm 0.286 0.571 0.851
Y 0.143 0.286 0.434
Y 0.857 0.714 0.566
! V   35.552 Å³ per atom
! Energy of formation from the pure elements   29 meV per atom



Entry 10:
! PBE Ca8Ga2Au, optimized geometry; values from VASP
&SYSTEM
  ibrav = 0, nat = 11, ntyp = 3
/
ATOMIC_SPECIES
Ca 40.08 Ca.upf
Ga 69.72 Ga.upf
Au 196.97 Au.upf
CELL_PARAMETERS angstrom
4.976 0.000 -1.514
-1.315 7.607 -4.320
-0.016 -0.104 8.878
ATOMIC_POSITIONS crystal
Ca 0.659 0.875 0.319
Ca 0.341 0.556 0.681
Ca 0.130 0.130 0.260
Ca 0.000 0.325 0.000
Ca 0.870 0.870 0.740
Ca 0.659 0.444 0.319
Ca 0.341 0.125 0.681
Ca 0.000 0.675 0.000
Ga 0.192 0.692 0.385
Ga 0.808 0.308 0.615
Au 0.500 0.000 0.000
! Offset from the most stable computed form   0.086 eV per atom
! V   30.308 Å³ per atom
! Energy of formation from the pure elements   -268 meV per atom



Entry 11:
! PBE NaPmHo2S4, optimized geometry; values from VASP
&SYSTEM
  ibrav = 0, nat = 8, ntyp = 4
/
ATOMIC_SPECIES
Na 22.99 Na.upf
Pm 145.00 Pm.upf
Ho 164.93 Ho.upf
S 32.06 S.upf
CELL_PARAMETERS angstrom
-3.588 -0.708 -1.428
-1.138 -4.473 5.077
-2.044 6.265 2.029
ATOMIC_POSITIONS crystal
Na 0.500 0.500 0.000
Pm 0.000 0.000 0.000
Ho 0.500 0.000 0.500
Ho 0.000 0.500 0.500
S 0.500 0.256 0.261
S 0.500 0.744 0.739
S 0.000 0.246 0.737
S 0.000 0.754 0.263
! Formation energy from raw total energies   -1923 meV/atom
! V   21.953 Å³ per atom



Entry 12:
! PBE Pm3RuAu, optimized geometry; values from VASP
&SYSTEM
  ibrav = 0, nat = 20, ntyp = 3
/
ATOMIC_SPECIES
Pm 145.00 Pm.upf
Ru 101.07 Ru.upf
Au 196.97 Au.upf
CELL_PARAMETERS angstrom
-5.747 3.453 -5.325
3.800 -2.581 -5.775
-6.109 -6.313 -1.198
ATOMIC_POSITIONS crystal
Pm 0.408 0.148 0.767
Pm 0.592 0.852 0.233
Pm 0.092 0.648 0.233
Pm 0.908 0.352 0.767
Pm 0.515 0.681 0.848
Pm 0.485 0.319 0.152
Pm 0.985 0.181 0.152
Pm 0.015 0.819 0.848
Pm 0.787 0.990 0.541
Pm 0.213 0.010 0.459
Pm 0.713 0.490 0.459
Pm 0.287 0.510 0.541
Ru 0.480 0.813 0.569
Ru 0.520 0.187 0.431
Ru 0.020 0.313 0.431
Ru 0.980 0.687 0.569
Au 0.692 0.042 0.915
Au 0.308 0.958 0.085
Au 0.808 0.542 0.085
Au 0.192 0.458 0.915
! Offset from the most stable computed form   0.000 eV per atom
! V   27.050 Å³ per atom
! Energy of formation from the pure elements   -447 meV per atom